Entry 1:
Pr2Zn5PdRh2 (PBE-GGA, relaxed); crystal system = tetragonal; Fermi-level density of states = 4.7 states/eV/f.u.; energy of formation = -0.4328 eV/atom; theoretical density = 8.292 g/cm³
1.0
3.695 0.000 0.000
0.000 9.992 0.000
0.000 0.000 9.992
Pr Zn Pd Rh
4 10 2 4
direct
0.000 0.680 0.180 Pr
0.000 0.320 0.820 Pr
0.000 0.180 0.320 Pr
0.000 0.820 0.680 Pr
0.500 0.191 0.053 Zn
0.500 0.809 0.947 Zn
0.500 0.053 0.809 Zn
0.500 0.691 0.447 Zn
0.500 0.947 0.191 Zn
0.500 0.309 0.553 Zn
0.500 0.553 0.691 Zn
0.500 0.447 0.309 Zn
0.500 0.500 0.000 Zn
0.500 0.000 0.500 Zn
0.000 0.000 0.000 Pd
0.000 0.500 0.500 Pd
0.000 0.124 0.624 Rh
0.000 0.876 0.376 Rh
0.000 0.624 0.876 Rh
0.000 0.376 0.124 Rh

Entry 2:
Li2TbNdSe4 (PBE-GGA, relaxed); crystal system = monoclinic; ΔE_f (raw) = -1.676 eV per atom; theoretical density = 5.408 g/cm³
1.0
-1.872 3.662 0.545
-6.188 -2.817 -2.328
0.529 -0.753 6.881
Li Tb Nd Se
2 1 1 4
direct
0.500 0.000 0.500 Li
0.000 0.500 0.500 Li
0.500 0.500 0.000 Tb
0.000 0.000 0.000 Nd
0.500 0.259 0.258 Se
0.500 0.741 0.742 Se
0.000 0.255 0.745 Se
0.000 0.745 0.255 Se

Entry 3:
MnBeTe2 (PBE-GGA, relaxed); crystal system = orthorhombic; Fermi-level density of states = 0.9 states/eV/f.u.; ΔE_f (raw) = 0.327 eV per atom; theoretical density = 4.561 g/cm³
1.0
5.810 -0.837 0.702
-0.147 5.868 -0.702
-1.190 -4.363 3.807
Be Te Mn
1 2 1
direct
0.250 0.750 0.500 Be
0.021 0.021 0.000 Te
0.479 0.479 0.000 Te
0.750 0.250 0.500 Mn

Table of total DFT energy (no corrections) (hartree per atom), in record order: -0.14756; -0.18638; -0.16420